This record from Alexandria describes La2Ag2Bi after structural relaxation. The functional is PBE.

Summary:
**Offset from the most stable computed form**: 181 meV per atom
**Formation energy**: -0.2925 eV/atom
**Raw total energy**: -41.80 eV/cell

Lattice parameters (Å, degrees): 8.869 8.869 3.845 90.00 90.00 90.00
Element x y z (fractional)
Bi 0.000 0.000 0.000
Bi 0.500 0.500 0.000
Ag 0.118 0.618 0.500
Ag 0.618 0.882 0.500
Ag 0.882 0.382 0.500
Ag 0.382 0.118 0.500
La 0.326 0.826 0.000
La 0.826 0.674 0.000
La 0.674 0.174 0.000
La 0.174 0.326 0.000

This record from Alexandria describes LaAg3Bi after structural relaxation. The functional is PBE.

Summary:
**Formation energy**: 0.8936 eV/atom
**Raw total energy**: -12.89 eV/cell

Lattice parameters (Å, degrees): 5.544 5.544 5.544 90.00 90.00 90.00
Element x y z (fractional)
Bi 0.500 0.500 0.500
Ag 0.000 0.500 0.000
Ag 0.000 0.000 0.500
Ag 0.500 0.000 0.000
La 0.000 0.000 0.000

This record from Alexandria describes LaAgBi after structural relaxation. The functional is PBE.

Summary:
**Formation energy**: -0.5436 eV/atom
**Raw total energy**: -13.29 eV/cell

Lattice parameters (Å, degrees): 4.397 4.789 4.789 120.00 90.00 90.00
Element x y z (fractional)
Bi 0.228 0.333 0.667
Ag 0.085 0.000 0.000
La 0.687 0.667 0.333